Record 1
10
Lattice="7.112 0.000 0.000 0.000 7.112 0.000 0.000 0.000 3.170" Properties=species:S:1:pos:R:3 comment="ZrAl2Tc2, optimized geometry, DFT PBE-GGA" polymorph_energy_mev_per_atom=0 rho_g_cm3=7.068 delta_e_f_ev_per_atom=-0.36 n_ef_per_ev_fu=2.3 final_energy_ev_per_fu=-38.54 pbc="T T T"
Tc 1.192 4.748 1.585
Tc 4.748 5.920 1.585
Tc 5.920 2.364 1.585
Tc 2.364 1.192 1.585
Zr 0.000 0.000 0.000
Zr 3.556 3.556 0.000
Al 2.654 6.210 0.000
Al 6.210 4.458 0.000
Al 4.458 0.902 0.000
Al 0.902 2.654 0.000

***

Record 2
19
Lattice="-2.007 -9.122 -1.065 5.770 3.117 3.914 -3.376 -0.025 6.571" Properties=species:S:1:pos:R:3 comment="Mg12Cd5Ag2, optimized geometry, DFT PBE-GGA" polymorph_energy_mev_per_atom=11 rho_g_cm3=4.289 delta_e_f_ev_per_atom=-0.07 n_ef_per_ev_fu=4.9 final_energy_ev_per_fu=-30.83 pbc="T T T"
Mg 2.239 -5.654 2.722
Mg 1.078 1.667 7.757
Mg -0.087 -3.625 7.139
Mg 2.982 1.013 5.404
Mg 2.029 -3.318 4.898
Mg 1.782 -1.282 7.625
Mg -1.394 -4.747 1.795
Mg -2.595 -7.042 4.016
Mg -1.642 -2.711 4.522
Mg -0.690 -7.696 1.663
Mg 0.474 -2.404 2.281
Mg -1.852 -0.375 6.698
Cd 0.598 -0.718 5.020
Cd 2.915 -0.984 2.939
Cd -1.688 -0.012 3.286
Cd -2.527 -5.045 6.481
Cd -0.211 -5.311 4.400
Ag -1.468 -6.673 -0.779
Ag -0.539 -2.449 -0.286

***

Record 3
10
Lattice="2.814 0.000 0.000 0.000 2.814 0.000 0.000 0.000 19.533" Properties=species:S:1:pos:R:3 comment="Ti5Ga4Cu, optimized geometry, DFT PBE-GGA" polymorph_energy_mev_per_atom=0 rho_g_cm3=6.247 delta_e_f_ev_per_atom=-0.39 n_ef_per_ev_fu=9.0 final_energy_ev_per_fu=-59.59 pbc="T T T"
Ti 1.407 1.407 1.849
Ti 1.407 1.407 5.779
Ti 1.407 1.407 9.767
Ti 1.407 1.407 13.755
Ti 1.407 1.407 17.684
Ga 0.000 0.000 3.803
Ga 0.000 0.000 7.774
Ga 0.000 0.000 11.760
Ga 0.000 0.000 15.731
Cu 0.000 0.000 0.000